# SCAN KBPt3, single point on PBEsol structure
data_KBPt3
_chemical_formula_sum 'K1 B1 Pt3'
_symmetry_space_group_name_H-M 'P 1'
_symmetry_Int_Tables_number 1
_cell_length_a 4.276
_cell_length_b 4.276
_cell_length_c 4.276
_cell_angle_alpha 90.00
_cell_angle_beta 90.00
_cell_angle_gamma 90.00
loop_
_symmetry_equiv_pos_as_xyz
'x,y,z'
loop_
_atom_site_label
_atom_site_fract_x
_atom_site_fract_y
_atom_site_fract_z
Pt1 0.500 0.000 0.000
Pt2 0.000 0.000 0.500
Pt3 0.000 0.500 0.000
K1 0.500 0.500 0.500
B1 0.000 0.000 0.000
# formation enthalpy at 0 K: -0.37 eV/f.u.
# space-group type: No. 221
# E: -45.341 eV per atom



# SCAN Zn2SiW, single point on PBEsol structure
data_Zn2SiW
_chemical_formula_sum 'Zn2 Si1 W1'
_symmetry_space_group_name_H-M 'P 1'
_symmetry_Int_Tables_number 1
_cell_length_a 2.667
_cell_length_b 2.667
_cell_length_c 8.190
_cell_angle_alpha 90.00
_cell_angle_beta 90.00
_cell_angle_gamma 90.00
loop_
_symmetry_equiv_pos_as_xyz
'x,y,z'
loop_
_atom_site_label
_atom_site_fract_x
_atom_site_fract_y
_atom_site_fract_z
Si1 0.000 0.000 0.508
Zn1 0.500 0.500 0.241
Zn2 0.000 0.000 0.001
W1 0.500 0.500 0.750
# space-group type: No. 99
# E: -26.350 eV per atom



Question: E of number 1 (KBPt3)?
Answer: -45.341 eV per atom



Question: What is the E in the first record?
Answer: -45.341 eV per atom